First-principles (PBE) data for crystalline Tb5Ce at its relaxed geometry, as listed in the Alexandria database.

The structure belongs to space group C2/m (No. 12); the cell edges are 18.463, 3.546 and 6.160 Å and the angles 90.00°, 109.42° and 90.00°. The inequivalent atoms are Tb at (0.000, 0.000, 0.000), Tb at (0.166, 0.000, 0.830), Tb at (0.166, 0.500, 0.335) and Ce at (0.000, 0.500, 0.500).

For the energy relative to the lowest polymorph listed for this composition, the calculation gives 0.09 kcal/mol of atoms. As for the calculated formation energy: 0.047 eV per atom. The calculation puts the density of states at the Fermi level at 1.830 states/eV/atom. For the total moment, the calculation gives 0.136 μB per atom.